Compound: TmPaOs2
Source: Alexandria via LeMat-Bulk
Functional: GGA-PBE
Structure: optimized geometry

a = 5.299 Å, b = 5.928 Å, c = 10.616 Å
α = 86.36°, β = 90.00°, γ = 90.00°
Element x y z (fractional)
Tm 0.250 0.092 0.399
Tm 0.750 0.908 0.601
Tm 0.250 0.408 0.101
Tm 0.750 0.592 0.899
Pa 0.250 0.573 0.604
Pa 0.750 0.427 0.396
Pa 0.250 0.927 0.896
Pa 0.750 0.073 0.104
Os 0.750 0.112 0.856
Os 0.250 0.888 0.144
Os 0.750 0.388 0.644
Os 0.250 0.612 0.356
Os 0.750 0.582 0.164
Os 0.250 0.418 0.836
Os 0.750 0.918 0.336
Os 0.250 0.082 0.664

Values from the calculation:
- Space-group type: C2/m
- Excess energy over the best structure of this formula in the dataset: 172 meV/atom
- Fermi-level density of states: 0.74 states/eV per atom
- Calculated density: 15.58 g/cm³
- DFT formation energy: -0.147 eV per atom
- Magnetization: 0.000 μB per formula unit



Compound: Sm5Hg2Bi2
Source: Alexandria via LeMat-Bulk
Functional: GGA-PBE
Structure: optimized geometry

a = 8.222 Å, b = 8.342 Å, c = 9.103 Å
α = 117.27°, β = 90.00°, γ = 90.00°
Element x y z (fractional)
Sm 0.000 0.000 0.000
Sm 0.500 0.500 0.000
Sm 0.837 0.802 0.267
Sm 0.163 0.465 0.267
Sm 0.337 0.965 0.267
Sm 0.663 0.302 0.267
Sm 0.163 0.198 0.733
Sm 0.837 0.535 0.733
Sm 0.663 0.035 0.733
Sm 0.337 0.698 0.733
Hg 0.630 0.867 0.000
Hg 0.370 0.133 0.000
Hg 0.130 0.633 0.000
Hg 0.870 0.367 0.000
Bi 0.000 0.205 0.410
Bi 0.500 0.705 0.410
Bi 0.000 0.795 0.590
Bi 0.500 0.295 0.590

Values from the calculation:
- Space-group type: Cmce
- Fermi-level density of states: 1.04 states/eV per atom
- Calculated density: 9.40 g/cm³
- DFT formation energy: -0.614 eV per atom
- Magnetization: 0.000 μB per formula unit



Compound: Al2FeW
Source: Alexandria via LeMat-Bulk
Functional: GGA-PBE
Structure: optimized geometry

a = 8.752 Å, b = 8.752 Å, c = 8.752 Å
α = 18.39°, β = 18.39°, γ = 18.39°
Element x y z (fractional)
Fe 0.250 0.250 0.250
W 0.750 0.750 0.750
Al 0.995 0.995 0.995
Al 0.505 0.505 0.505

Values from the calculation:
- Space-group type: R-3m
- Excess energy over the best structure of this formula in the dataset: 113 meV/atom
- Fermi-level density of states: 0.46 states/eV per atom
- Calculated density: 8.36 g/cm³
- DFT formation energy: -0.028 eV per atom
- Magnetization: 2.157 μB per formula unit



Compound: Dy3InSn3
Source: Alexandria via LeMat-Bulk
Functional: GGA-PBE
Structure: optimized geometry

a = 5.652 Å, b = 8.769 Å, c = 8.769 Å
α = 120.00°, β = 90.00°, γ = 90.00°
Element x y z (fractional)
Dy 0.750 0.645 0.554
Dy 0.750 0.446 0.091
Dy 0.750 0.909 0.355
Dy 0.250 0.355 0.446
Dy 0.250 0.554 0.909
Dy 0.250 0.091 0.645
In 0.250 0.667 0.333
In 0.750 0.333 0.667
Sn 0.250 0.800 0.747
Sn 0.250 0.253 0.053
Sn 0.250 0.947 0.200
Sn 0.750 0.200 0.253
Sn 0.750 0.747 0.947
Sn 0.750 0.053 0.800

Values from the calculation:
- Space-group type: P6_3/m
- Fermi-level density of states: 0.81 states/eV per atom
- Calculated density: 8.46 g/cm³
- DFT formation energy: -0.419 eV per atom
- Magnetization: 0.000 μB per formula unit



Compound: Sr2Cu2Hg
Source: Alexandria via LeMat-Bulk
Functional: GGA-PBE
Structure: optimized geometry

a = 3.712 Å, b = 3.712 Å, c = 9.843 Å
α = 79.13°, β = 79.13°, γ = 90.00°
Element x y z (fractional)
Sr 0.386 0.386 0.229
Sr 0.614 0.614 0.771
Hg 0.000 0.000 0.000
Cu 0.750 0.250 0.500
Cu 0.250 0.750 0.500

Values from the calculation:
- Space-group type: I4/mmm
- Excess energy over the best structure of this formula in the dataset: 97 meV/atom
- Fermi-level density of states: 0.90 states/eV per atom
- Calculated density: 6.39 g/cm³
- DFT formation energy: -0.082 eV per atom
- Magnetization: 0.000 μB per formula unit



Compound: RbHSN2
Source: Alexandria via LeMat-Bulk
Functional: GGA-PBE
Structure: optimized geometry

a = 6.131 Å, b = 6.131 Å, c = 6.588 Å
α = 90.00°, β = 90.00°, γ = 90.00°
Element x y z (fractional)
H 0.500 0.500 0.500
S 0.000 0.000 0.500
Rb 0.000 0.000 0.000
N 0.000 0.500 0.000
N 0.500 0.000 0.000

Values from the calculation:
- Space-group type: P4/mmm
- Excess energy over the best structure of this formula in the dataset: 747 meV/atom
- Fermi-level density of states: 1.45 states/eV per atom
- Calculated density: 0.98 g/cm³
- Magnetization: 8.000 μB per formula unit



Compound: Tb2Tl3CrSe6
Source: Alexandria via LeMat-Bulk
Functional: GGA-PBE
Structure: optimized geometry

a = 7.043 Å, b = 7.043 Å, c = 8.080 Å
α = 98.34°, β = 98.34°, γ = 119.94°
Element x y z (fractional)
Tb 0.334 0.666 0.000
Tb 0.666 0.334 0.000
Tl 0.176 0.824 0.500
Tl 0.824 0.176 0.500
Tl 0.500 0.500 0.500
Cr 0.000 0.000 0.000
Se 0.935 0.630 0.806
Se 0.761 0.761 0.203
Se 0.065 0.370 0.194
Se 0.630 0.935 0.806
Se 0.239 0.239 0.797
Se 0.370 0.065 0.194

Values from the calculation:
- Space-group type: C2/m
- Fermi-level density of states: 0.02 states/eV per atom
- Calculated density: 7.28 g/cm³
- Formation energy from raw total energies: -1044.4 meV/atom
- Magnetization: 3.006 μB per formula unit



Compound: TbPrHg
Source: Alexandria via LeMat-Bulk
Functional: GGA-PBE
Structure: optimized geometry

a = 3.933 Å, b = 5.202 Å, c = 5.202 Å
α = 120.00°, β = 90.00°, γ = 90.00°
Element x y z (fractional)
Pr 0.665 0.667 0.333
Tb 0.164 0.000 0.000
Hg 0.171 0.333 0.667

Values from the calculation:
- Space-group type: P3m1
- Excess energy over the best structure of this formula in the dataset: 146 meV/atom
- Fermi-level density of states: 1.24 states/eV per atom
- Calculated density: 9.02 g/cm³
- DFT formation energy: -0.188 eV per atom
- Magnetization: 0.000 μB per formula unit



Compound: ScGaBr
Source: Alexandria via LeMat-Bulk
Functional: GGA-PBE
Structure: optimized geometry

a = 3.452 Å, b = 3.452 Å, c = 7.104 Å
α = 90.00°, β = 90.00°, γ = 120.00°
Element x y z (fractional)
Sc 0.000 0.000 0.103
Ga 0.667 0.333 0.394
Br 0.667 0.333 0.840

Values from the calculation:
- Space-group type: P3m1
- Fermi-level density of states: 0.74 states/eV per atom
- Calculated density: 4.41 g/cm³
- Formation energy from raw total energies: -623.9 meV/atom
- Magnetization: 0.552 μB per formula unit



Compound: Pr8DyTm5
Source: Alexandria via LeMat-Bulk
Functional: GGA-PBE
Structure: optimized geometry

a = 8.652 Å, b = 8.610 Å, c = 8.656 Å
α = 115.94°, β = 99.09°, γ = 114.17°
Element x y z (fractional)
Pr 0.125 0.661 0.915
Pr 0.917 0.129 0.648
Pr 0.755 0.236 0.301
Pr 0.692 0.343 0.913
Pr 0.570 0.657 0.350
Pr 0.519 0.871 0.787
Pr 0.254 0.339 0.464
Pr 0.065 0.763 0.519
Dy 0.412 0.504 0.913
Tm 0.096 0.408 0.134
Tm 0.911 0.869 0.169
Tm 0.726 0.592 0.688
Tm 0.406 0.999 0.405
Tm 0.300 0.131 0.042

Values from the calculation:
- Space-group type: P1
- Fermi-level density of states: 1.46 states/eV per atom
- Calculated density: 7.35 g/cm³
- DFT formation energy: 0.171 eV per atom
- Magnetization: 0.000 μB per formula unit



Compound: CaCr2W
Source: Alexandria via LeMat-Bulk
Functional: GGA-PBE
Structure: optimized geometry

a = 4.615 Å, b = 4.615 Å, c = 9.007 Å
α = 75.16°, β = 75.16°, γ = 90.00°
Element x y z (fractional)
Cr 0.876 0.125 0.250
Cr 0.874 0.625 0.250
Cr 0.375 0.124 0.750
Cr 0.875 0.126 0.750
Ca 0.500 0.500 0.000
Ca 0.250 0.750 0.500
W 0.000 0.000 0.000
W 0.750 0.250 0.500

Values from the calculation:
- Space-group type: I4_1/amd
- Excess energy over the best structure of this formula in the dataset: 782 meV/atom
- Fermi-level density of states: 0.93 states/eV per atom
- Calculated density: 6.09 g/cm³
- DFT formation energy: 1.324 eV per atom
- Magnetization: 1.839 μB per formula unit



Compound: Tb2Pr3Nd2
Source: Alexandria via LeMat-Bulk
Functional: GGA-PBE
Structure: optimized geometry

a = 3.666 Å, b = 12.140 Å, c = 6.337 Å
α = 69.77°, β = 73.22°, γ = 98.75°
Element x y z (fractional)
Tb 0.715 0.286 0.857
Tb 0.285 0.714 0.143
Pr 0.000 0.000 0.000
Pr 0.572 0.429 0.286
Pr 0.428 0.571 0.714
Nd 0.858 0.144 0.426
Nd 0.142 0.856 0.574

Values from the calculation:
- Space-group type: P-1
- Excess energy over the best structure of this formula in the dataset: 0 meV/atom
- Fermi-level density of states: 1.42 states/eV per atom
- Calculated density: 7.03 g/cm³
- DFT formation energy: 0.015 eV per atom
- Magnetization: 0.000 μB per formula unit